No. 1
Density functional theory data (PBE) for crystalline Mn2ReHg at its relaxed geometry.

Properties
Space group   Cm
DOS(E_F)   0.93 states/eV per atom
M_tot   4.7 μB per cell
DFT total energy   -29.14 eV per cell
ρ   13.50 Mg/m³

abc: 4.7900 4.7900 4.7125
angles: 100.92 100.92 35.20
With the nearest neighbours (Å) after each atom.
Fractional positions:
Mn: 0.0000 0.0000 0.0000  3 Re 2.57-2.73, 4 Hg 2.76-2.78, 3 Mn 2.81
Mn: 0.2474 0.2474 0.7282  2 Re 2.58, 3 Hg 2.68-2.78, 3 Mn 2.81
Re: 0.7329 0.7329 0.1748  5 Mn 2.57-2.73
Hg: 0.4919 0.4919 0.4940  7 Mn 2.68-2.78, 2 Hg 2.90, 3 Re 2.90-2.92

=====

No. 2
Density functional theory data (PBE) for crystalline MnReHg2 at its relaxed geometry.

Properties
Space group   C2/m
DOS(E_F)   0.72 states/eV per atom
M_tot   3.5 μB per cell
DFT total energy   -19.36 eV per cell
Relative energy among the computed polymorphs   0.325 eV/atom
ρ   15.02 Mg/m³

abc: 5.0373 5.0373 5.1561
angles: 100.02 100.02 33.50
With the nearest neighbours (Å) after each atom.
Fractional positions:
Mn: 0.0000 0.0000 0.0000  6 Hg 2.89-2.95, 2 Mn 2.90, 4 Re 2.96
Re: 0.5000 0.5000 0.5000  2 Re 2.90, 6 Hg 2.92, 4 Mn 2.96
Hg: 0.2519 0.2519 0.7501  3 Mn 2.89-2.95, 6 Hg 2.90-2.96, 3 Re 2.92
Hg: 0.7481 0.7481 0.2499  3 Mn 2.89-2.95, 6 Hg 2.90-2.96, 3 Re 2.92

=====

No. 3
Density functional theory data (PBE) for crystalline MnReHg at its relaxed geometry.

Properties
Space group   I4mm
DOS(E_F)   0.58 states/eV per atom
M_tot   0.0 μB per cell
DFT total energy   -20.62 eV per cell
Relative energy among the computed polymorphs   0.000 eV/atom
ρ   15.47 Mg/m³

abc: 6.0411 6.0411 6.0411
angles: 152.34 152.34 39.52
With the nearest neighbours (Å) after each atom.
Fractional positions:
Mn: 0.0000 0.0000 0.0000  4 Re 2.43
Re: 0.6164 0.6164 0.0000  4 Mn 2.43
Hg: 0.3168 0.3168 0.0000  4 Hg 2.89, 4 Mn 2.92, 4 Re 3.06